{
  "formula": "SiHSe3",
  "functional": "PBE",
  "state": "relaxed",
  "lattice": [[4.8546, 0.0000, 0.0000], [0.0000, 4.8546, 0.0000], [0.0000, 0.0000, 4.8546]],
  "species": ["H", "Se", "Se", "Se", "Si"],
  "fractional_positions": [[0.5000, 0.5000, 0.5000], [0.0000, 0.0000, 0.5000], [0.0000, 0.5000, 0.0000], [0.5000, 0.0000, 0.0000], [0.0000, 0.0000, 0.0000]],
  "total_energy_ev_per_atom": -3.0617
}

---

{
  "formula": "SiHSe2",
  "functional": "PBE",
  "state": "relaxed",
  "lattice": [[3.6035, -1.9166, 1.6881], [1.9885, 1.7585, 3.5302], [-0.2139, -2.0516, 3.9056]],
  "species": ["Se", "Se", "H", "Si"],
  "fractional_positions": [[0.2500, 0.2500, 0.2500], [0.7500, 0.7500, 0.7500], [0.0000, 0.0000, 0.0000], [0.5000, 0.5000, 0.5000]],
  "total_energy_ev_per_atom": -3.2672
}

---

{
  "formula": "SiHSe",
  "functional": "PBE",
  "state": "relaxed",
  "lattice": [[-2.1127, -3.0868, -2.7651], [4.9905, -1.4474, -0.8337], [-0.3340, -2.4419, 5.6451]],
  "species": ["Se", "Se", "H", "H", "Si", "Si"],
  "fractional_positions": [[0.8727, 0.2886, 0.7367], [0.1273, 0.7114, 0.2633], [0.3429, 0.8197, 0.8222], [0.6571, 0.1803, 0.1778], [0.7152, 0.4054, 0.0526], [0.2848, 0.5946, 0.9474]],
  "total_energy_ev_per_atom": -4.2809
}

---

{
  "formula": "SiHSe",
  "functional": "PBE",
  "state": "relaxed",
  "lattice": [[5.0836, 0.0000, 0.0000], [0.0000, 2.6009, 0.0000], [0.0000, 0.0000, 3.4408]],
  "species": ["Si", "Se", "H"],
  "fractional_positions": [[0.5000, 0.0000, 0.8304], [0.0000, 0.0000, 0.8340], [0.5000, 0.0000, 0.3309]],
  "total_energy_ev_per_atom": -3.8872
}

---

{
  "formula": "SiHSe",
  "functional": "PBE",
  "state": "relaxed",
  "lattice": [[-1.5369, -1.9623, 2.4165], [1.7713, -2.8185, -1.1621], [3.1061, 0.8685, 2.6280]],
  "species": ["H", "Si", "Se"],
  "fractional_positions": [[0.5795, 0.0000, 0.8188], [0.0805, 0.0000, 0.7223], [0.0749, 0.5000, 0.3530]],
  "total_energy_ev_per_atom": -3.9967
}

---

{
  "formula": "SiHSe2",
  "functional": "PBE",
  "state": "relaxed",
  "lattice": [[-6.2434, 2.4607, -0.0084], [-4.5447, 3.9008, 3.0273], [-3.9419, 5.4188, -0.3649]],
  "species": ["Si", "Se", "Se", "H"],
  "fractional_positions": [[0.5000, 0.5000, 0.5000], [0.9074, 0.9074, 0.9074], [0.0926, 0.0926, 0.0926], [0.0000, 0.0000, 0.0000]],
  "total_energy_ev_per_atom": -3.8965
}

---

{
  "formula": "SiHSe",
  "functional": "PBE",
  "state": "relaxed",
  "lattice": [[-0.5009, 3.3141, -0.5640], [-2.3516, 2.2088, 4.9423], [4.3606, 2.8826, 2.7352]],
  "species": ["Se", "Se", "H", "H", "Si", "Si"],
  "fractional_positions": [[0.1502, 0.7723, 0.9383], [0.2695, 0.1376, 0.3421], [0.4882, 0.2605, 0.7796], [0.9315, 0.6495, 0.5008], [0.0438, 0.1823, 0.7464], [0.3759, 0.7277, 0.5340]],
  "total_energy_ev_per_atom": -3.9642
}

---

{
  "formula": "SiHSe2",
  "functional": "PBE",
  "state": "relaxed",
  "lattice": [[5.9227, 0.0000, 0.0000], [0.0000, 5.9227, 0.0000], [2.9613, 2.9613, 4.1245]],
  "species": ["Se", "Se", "Se", "Se", "H", "H", "Si", "Si"],
  "fractional_positions": [[0.8750, 0.8678, 0.7500], [0.1322, 0.6250, 0.2500], [0.3750, 0.3822, 0.7500], [0.6178, 0.1250, 0.2500], [0.2500, 0.7500, 0.5000], [0.5000, 0.5000, 0.0000], [0.7500, 0.2500, 0.5000], [0.0000, 0.0000, 0.0000]],
  "total_energy_ev_per_atom": -3.6739
}